[1]
SiIrBr2 | GGA-PBE | optimized geometry

Cell: 3.557 5.722 9.350 Å, 90.00 90.00 90.00°
Space group Cmm2 (No. 35)
One atom of each set of equivalent atoms:
Si1 0.000 0.000 0.000 [2 per cell]
Ir1 0.000 0.500 0.848 [2 per cell]
Br1 0.000 0.000 0.632 [2 per cell]
Br2 0.000 0.500 0.218 [2 per cell]

The magnetization comes out at 0.0 μB/f.u. The energy relative to the lowest polymorph listed for this composition comes out at 422 meV per atom. The value obtained for the raw formation energy is 0.25 eV/atom. Its total energy is -33.268 eV for the cell shown.

---

[2]
La4Pb2I | GGA-PBE | optimized geometry

Cell: 7.015 6.706 10.890 Å, 90.00 106.57 90.00°
Space group P2_1/m (No. 11)
One atom of each set of equivalent atoms:
La1 0.031 0.010 0.272 [4 per cell]
La2 0.389 0.750 0.544 [2 per cell]
La3 0.455 0.750 0.151 [2 per cell]
Pb1 0.080 0.250 0.002 [2 per cell]
Pb2 0.210 0.250 0.557 [2 per cell]
I1 0.395 0.750 0.841 [2 per cell]

The magnetization comes out at 0.0 μB/f.u. The energy relative to the lowest polymorph listed for this composition comes out at 0 meV per atom. The value obtained for the raw formation energy is -0.53 eV/atom. Its total energy is -64.833 eV for the cell shown.

---

[3]
LaDyYMg | GGA-PBE | optimized geometry

Cell: 7.938 7.938 7.938 Å, 90.00 90.00 90.00°
Space group F-43m (No. 216)
One atom of each set of equivalent atoms:
La1 0.000 0.000 0.000 [4 per cell]
Dy1 0.250 0.250 0.750 [4 per cell]
Y1 0.000 0.000 0.500 [4 per cell]
Mg1 0.250 0.250 0.250 [4 per cell]

The value obtained for the formation energy is 32 meV per atom. The magnetization comes out at 0.0 μB/f.u. The energy relative to the lowest polymorph listed for this composition comes out at 58 meV per atom. Its total energy is -69.848 eV for the cell shown.

---

[4]
FeIN2 | GGA-PBE | optimized geometry

Cell: 5.567 5.567 8.037 Å, 90.00 90.00 90.00°
Space group I-42d (No. 122)
One atom of each set of equivalent atoms:
Fe1 0.000 0.000 0.000 [4 per cell]
I1 0.000 0.000 0.500 [4 per cell]
N1 0.053 0.250 0.125 [8 per cell]

The magnetization comes out at 0.0 μB/f.u. The energy relative to the lowest polymorph listed for this composition comes out at 0 meV per atom. The value obtained for the raw formation energy is 0.81 eV/atom. Its total energy is -93.768 eV for the cell shown.

---

[5]
Cs2GeB | GGA-PBE | optimized geometry

Cell: 8.400 8.400 8.400 Å, 90.00 90.00 90.00°
Space group Fm-3m (No. 225)
One atom of each set of equivalent atoms:
Cs1 0.250 0.250 0.250 [8 per cell]
Ge1 0.000 0.000 0.000 [4 per cell]
B1 0.000 0.000 0.500 [4 per cell]

The value obtained for the formation energy is 1311 meV per atom. The magnetization comes out at 0.0 μB/f.u. Its total energy is -31.034 eV for the cell shown.

---

[6]
LiInSb | GGA-PBE | optimized geometry

Cell: 7.049 7.049 7.049 Å, 90.00 90.00 90.00°
Space group F-43m (No. 216)
One atom of each set of equivalent atoms:
Li1 0.000 0.000 0.000 [4 per cell]
In1 0.000 0.000 0.500 [4 per cell]
Sb1 0.250 0.250 0.750 [4 per cell]

The magnetization comes out at 0.0 μB/f.u. The energy relative to the lowest polymorph listed for this composition comes out at 112 meV per atom. The value obtained for the raw formation energy is -0.17 eV/atom. Its total energy is -37.150 eV for the cell shown.

---

[7]
Pr2LuPd | GGA-PBE | optimized geometry

Cell: 3.751 3.751 8.164 Å, 90.00 90.00 90.00°
Space group P4/mmm (No. 123)
One atom of each set of equivalent atoms:
Pr1 0.000 0.000 0.211 [2 per cell]
Lu1 0.500 0.500 0.500 [1 per cell]
Pd1 0.500 0.500 0.000 [1 per cell]

The value obtained for the formation energy is -298 meV per atom. The magnetization comes out at 0.0 μB/f.u. Its total energy is -20.466 eV for the cell shown.

---

[8]
KNa2Cd4 | GGA-PBE | optimized geometry

Cell: 8.141 8.141 6.129 Å, 90.00 90.00 90.00°
Space group I4/mmm (No. 139)
One atom of each set of equivalent atoms:
K1 0.000 0.000 0.000 [2 per cell]
Na1 0.000 0.500 0.250 [4 per cell]
Cd1 0.186 0.186 0.500 [8 per cell]

The value obtained for the formation energy is -81 meV per atom. The magnetization comes out at 0.0 μB/f.u. Its total energy is -15.929 eV for the cell shown.

---

[9]
HfH | GGA-PBE | optimized geometry

Cell: 5.668 5.668 5.668 Å, 90.00 90.00 90.00°
Space group Pm-3n (No. 223)
One atom of each set of equivalent atoms:
Hf1 0.000 0.250 0.500 [6 per cell]
H1 0.000 0.500 0.250 [6 per cell]

The magnetization comes out at 0.3 μB/f.u. Its total energy is -77.127 eV for the cell shown.

---

[10]
KCo2Cu | GGA-PBE | optimized geometry

Cell: 3.798 3.798 9.268 Å, 90.00 90.00 90.00°
Space group I4/mmm (No. 139)
One atom of each set of equivalent atoms:
K1 0.000 0.000 0.000 [2 per cell]
Co1 0.000 0.500 0.250 [4 per cell]
Cu1 0.000 0.000 0.500 [2 per cell]

The value obtained for the formation energy is 1192 meV per atom. The magnetization comes out at 3.5 μB/f.u. The energy relative to the lowest polymorph listed for this composition comes out at 664 meV per atom. Its total energy is -29.273 eV for the cell shown.

---

[11]
GdCdAgSn | GGA-PBE | optimized geometry

Cell: 7.236 7.236 7.236 Å, 90.00 90.00 90.00°
Space group F-43m (No. 216)
One atom of each set of equivalent atoms:
Gd1 0.000 0.000 0.000 [4 per cell]
Cd1 0.000 0.000 0.500 [4 per cell]
Ag1 0.250 0.250 0.750 [4 per cell]
Sn1 0.250 0.250 0.250 [4 per cell]

The value obtained for the formation energy is -311 meV per atom. The magnetization comes out at 7.0 μB/f.u. Its total energy is -92.380 eV for the cell shown.

---

[12]
Ba8MgAu2 | GGA-PBE | optimized geometry

Cell: 10.711 15.236 6.603 Å, 90.00 103.59 90.00°
Space group Cm (No. 8)
One atom of each set of equivalent atoms:
Ba1 0.000 0.000 0.000 [2 per cell]
Ba2 0.066 0.366 0.802 [4 per cell]
Ba3 0.181 0.134 0.612 [4 per cell]
Ba4 0.246 0.500 0.414 [2 per cell]
Ba5 0.374 0.249 0.207 [4 per cell]
Mg1 0.372 0.000 0.207 [2 per cell]
Au1 0.374 0.317 0.707 [4 per cell]

The value obtained for the formation energy is -233 meV per atom. The magnetization comes out at 0.0 μB/f.u. Its total energy is -52.191 eV for the cell shown.

---

[13]
RbTbCdS3 | GGA-PBE | optimized geometry

Cell: 8.930 4.158 10.078 Å, 90.00 108.54 90.00°
Space group P2_1/m (No. 11)
One atom of each set of equivalent atoms:
Rb1 0.214 0.250 0.231 [2 per cell]
Tb1 0.332 0.750 0.866 [2 per cell]
Cd1 0.086 0.250 0.613 [2 per cell]
S1 0.121 0.250 0.868 [2 per cell]
S2 0.218 0.750 0.548 [2 per cell]
S3 0.468 0.750 0.145 [2 per cell]

The magnetization comes out at 0.0 μB/f.u. The value obtained for the raw formation energy is -1.40 eV/atom. Its total energy is -54.575 eV for the cell shown.